Record 1
Density functional theory data (PBE) for a relaxed Th2Ga3Pt9 crystal.

Calculated values
As for the density of states at the Fermi level: 11.03 states/eV/cell. The value obtained for the formation energy is -0.921 eV/atom.

Cell lengths 7.8114, 7.8114, 10.4176 Å; angles 90.54, 111.44, 120.00 degrees
Atoms (fractional coordinates):
Th 0.3324 0.2449 0.7492
Th 0.6676 0.7551 0.2508
Th 0.9957 0.5832 0.7508
Th 0.0043 0.4168 0.2492
Ga 0.5000 0.0000 0.0000
Ga 0.5000 0.5000 0.5000
Ga 0.8556 0.1784 0.5006
Ga 0.1444 0.8216 0.4994
Ga 0.1779 0.3550 0.9994
Ga 0.8221 0.6450 0.0006
Pt 0.4485 0.9134 0.7466
Pt 0.5515 0.0866 0.2534
Pt 0.6668 0.7018 0.7534
Pt 0.3332 0.2982 0.2466
Pt 0.4547 0.6478 0.9261
Pt 0.5453 0.3522 0.0739
Pt 0.2217 0.5286 0.5739
Pt 0.7783 0.4714 0.4261
Pt 0.8826 0.1326 0.7500
Pt 0.1174 0.8674 0.2500
Pt 0.1141 0.9754 0.9236
Pt 0.8859 0.0246 0.0764
Pt 0.5518 0.1905 0.5764
Pt 0.4482 0.8095 0.4236
Pt 0.8744 0.8577 0.5742
Pt 0.1256 0.1423 0.4258
Pt 0.7835 0.3003 0.9258
Pt 0.2165 0.6997 0.0742

***

Record 2
Density functional theory data (PBE) for a relaxed ThGa3Pt5 crystal.

Calculated values
As for the density of states at the Fermi level: 6.63 states/eV/cell. The value obtained for the formation energy is -0.729 eV/atom.

Cell lengths 3.8715, 6.6205, 13.6309 Å; angles 90.00, 90.00, 107.00 degrees
Atoms (fractional coordinates):
Th 0.8175 0.6349 0.7500
Th 0.1825 0.3651 0.2500
Ga 0.3617 0.7234 0.9974
Ga 0.9285 0.8570 0.2500
Ga 0.3617 0.7234 0.5026
Ga 0.6383 0.2766 0.4974
Ga 0.0715 0.1430 0.7500
Ga 0.6383 0.2766 0.0026
Pt 0.7978 0.5956 0.3892
Pt 0.2022 0.4044 0.8892
Pt 0.0000 0.0000 0.5000
Pt 0.0000 0.0000 0.0000
Pt 0.5117 0.0233 0.1506
Pt 0.4883 0.9767 0.8494
Pt 0.4883 0.9767 0.6506
Pt 0.7978 0.5956 0.1108
Pt 0.2022 0.4044 0.6108
Pt 0.5117 0.0233 0.3494

***

Record 3
Density functional theory data (PBE) for a relaxed ThGa2Pt3 crystal.

Calculated values
As for the density of states at the Fermi level: 7.94 states/eV/cell. The value obtained for the formation energy is -0.920 eV/atom.

Cell lengths 4.0952, 8.6776, 10.0961 Å; angles 105.58, 90.00, 103.65 degrees
Atoms (fractional coordinates):
Th 0.1614 0.3228 0.7013
Th 0.8386 0.6772 0.2987
Th 0.0000 0.0000 0.0000
Ga 0.1961 0.3922 0.1221
Ga 0.8039 0.6078 0.8779
Ga 0.4630 0.9260 0.2303
Ga 0.5370 0.0740 0.7697
Ga 0.3617 0.7235 0.5516
Ga 0.6383 0.2765 0.4484
Pt 0.0453 0.0906 0.3333
Pt 0.9547 0.9094 0.6667
Pt 0.2230 0.4460 0.3861
Pt 0.7770 0.5540 0.6139
Pt 0.6130 0.2260 0.1855
Pt 0.3870 0.7740 0.8145
Pt 0.5000 0.0000 0.5000
Pt 0.3280 0.6560 0.0506
Pt 0.6720 0.3440 0.9494

***

Record 4
Density functional theory data (PBE) for a relaxed Th3GaPt12 crystal.

Calculated values
As for the density of states at the Fermi level: 5.03 states/eV/cell. The value obtained for the formation energy is -0.936 eV/atom.

Cell lengths 4.1998, 4.1998, 16.4578 Å; angles 90.00, 90.00, 90.00 degrees
Atoms (fractional coordinates):
Th 0.0000 0.0000 0.2387
Th 0.0000 0.0000 0.5000
Th 0.0000 0.0000 0.7613
Ga 0.0000 0.0000 0.0000
Pt 0.5000 0.5000 0.0000
Pt 0.5000 0.5000 0.2412
Pt 0.5000 0.5000 0.5000
Pt 0.5000 0.5000 0.7588
Pt 0.5000 0.0000 0.1118
Pt 0.5000 0.0000 0.3706
Pt 0.5000 0.0000 0.6294
Pt 0.5000 0.0000 0.8882
Pt 0.0000 0.5000 0.1118
Pt 0.0000 0.5000 0.3706
Pt 0.0000 0.5000 0.6294
Pt 0.0000 0.5000 0.8882

***

Record 5
Density functional theory data (PBE) for a relaxed Th2Ga2Pt3 crystal.

Calculated values
As for the density of states at the Fermi level: 6.87 states/eV/cell. The value obtained for the formation energy is -1.077 eV/atom.

Cell lengths 4.0779, 7.3416, 10.0133 Å; angles 90.00, 101.75, 90.00 degrees
Atoms (fractional coordinates):
Th 0.1496 0.2500 0.2993
Th 0.8504 0.7500 0.7007
Th 0.9383 0.2500 0.8765
Th 0.0617 0.7500 0.1235
Ga 0.6946 0.9454 0.3892
Ga 0.3054 0.0546 0.6108
Ga 0.3054 0.4454 0.6108
Ga 0.6946 0.5546 0.3892
Pt 0.2277 0.7500 0.4553
Pt 0.7723 0.2500 0.5447
Pt 0.5666 0.4567 0.1333
Pt 0.4334 0.5433 0.8667
Pt 0.4334 0.9567 0.8667
Pt 0.5666 0.0433 0.1333

***

Record 6
Density functional theory data (PBE) for a relaxed ThGa2Pt3 crystal.

Calculated values
As for the density of states at the Fermi level: 4.78 states/eV/cell. The value obtained for the formation energy is -0.881 eV/atom.

Cell lengths 5.4877, 6.4903, 6.4903 Å; angles 100.81, 90.00, 90.00 degrees
Atoms (fractional coordinates):
Th 0.2500 0.3195 0.3195
Th 0.7500 0.6805 0.6805
Ga 0.5000 0.7824 0.2176
Ga 0.0000 0.7824 0.2176
Ga 0.0000 0.2176 0.7824
Ga 0.5000 0.2176 0.7824
Pt 0.7500 0.4548 0.1443
Pt 0.7500 0.1443 0.4548
Pt 0.2500 0.5452 0.8557
Pt 0.7500 0.0280 0.0280
Pt 0.2500 0.9720 0.9720
Pt 0.2500 0.8557 0.5452

***

Record 7
Density functional theory data (PBE) for a relaxed ThTiGa5Pt2 crystal.

Calculated values
As for the density of states at the Fermi level: 6.68 states/eV/cell. The value obtained for the formation energy is -0.237 eV/atom.

Cell lengths 4.2617, 4.2617, 10.6540 Å; angles 90.00, 90.00, 90.00 degrees
Atoms (fractional coordinates):
Th 0.0000 0.0000 0.5000
Ti 0.0000 0.0000 0.0000
Ga 0.0000 0.5000 0.1558
Ga 0.5000 0.0000 0.1558
Ga 0.0000 0.5000 0.8442
Ga 0.5000 0.0000 0.8442
Ga 0.5000 0.5000 0.5000
Pt 0.5000 0.5000 0.2802
Pt 0.5000 0.5000 0.7198

***

Record 8
Density functional theory data (PBE) for a relaxed ThTiGa2Pt2 crystal.

Calculated values
As for the density of states at the Fermi level: 5.67 states/eV/cell. The value obtained for the formation energy is -0.925 eV/atom.

Cell lengths 4.3932, 4.3932, 6.7868 Å; angles 90.00, 90.00, 120.00 degrees
Site moments in Bohr magnetons follow the coordinates.
Atoms (fractional coordinates):
Th 0.0000 0.0000 0.0000  0.08
Ti 0.0000 0.0000 0.5000  0.43
Ga 0.6667 0.3333 0.3077  0.00
Ga 0.3333 0.6667 0.6923  0.00
Pt 0.6667 0.3333 0.7105  0.02
Pt 0.3333 0.6667 0.2895  0.02